[1]
Material: TlCu2Re
Method: DFT, GGA-PBE
State: optimized geometry

Magnetic moment ... 0.00 μB/atom
Energy of formation from the pure elements ... 606 meV/atom
Energy relative to the lowest polymorph listed for this composition ... 0.068 eV per atom
Volume ... 15.5 A^3/atom

CIF file:
```
data_TlCu2Re
_chemical_formula_sum 'Tl2 Cu4 Re2'
_cell_length_a 5.589
_cell_length_b 8.014
_cell_length_c 2.776
_cell_angle_alpha 90.00
_cell_angle_beta 90.00
_cell_angle_gamma 90.00
_symmetry_space_group_name_H-M 'C m m m'
_symmetry_Int_Tables_number 65
_symmetry_space_group_name_Hall '-C 2 2'
loop_
_atom_site_label
_atom_site_fract_x
_atom_site_fract_y
_atom_site_fract_z
Tl1 0.000 0.000 0.000
Cu1 0.250 0.250 0.500
Re1 0.000 0.500 0.000
```

***

[2]
Material: Tl4CuRe
Method: DFT, GGA-PBE
State: optimized geometry

Magnetic moment ... 0.63 μB/atom
Energy of formation from the pure elements ... 1342 meV/atom
Volume ... 27.7 A^3/atom

CIF file:
```
data_Tl4CuRe
_chemical_formula_sum 'Tl16 Cu4 Re4'
_cell_length_a 8.723
_cell_length_b 8.723
_cell_length_c 8.723
_cell_angle_alpha 90.00
_cell_angle_beta 90.00
_cell_angle_gamma 90.00
_symmetry_space_group_name_H-M 'F -4 3 m'
_symmetry_Int_Tables_number 216
_symmetry_space_group_name_Hall 'F -4 2 3'
loop_
_atom_site_label
_atom_site_fract_x
_atom_site_fract_y
_atom_site_fract_z
Tl1 0.125 0.125 0.125
Cu1 0.250 0.250 0.750
Re1 0.000 0.000 0.500
```

***

[3]
Material: Tl2CuRe
Method: DFT, GGA-PBE
State: optimized geometry

Magnetic moment ... 0.00 μB/atom
Energy of formation from the pure elements ... 969 meV/atom
Energy relative to the lowest polymorph listed for this composition ... 0.269 eV per atom
Volume ... 19.3 A^3/atom

CIF file:
```
data_Tl2CuRe
_chemical_formula_sum 'Tl2 Cu1 Re1'
_cell_length_a 2.945
_cell_length_b 4.575
_cell_length_c 5.729
_cell_angle_alpha 90.00
_cell_angle_beta 91.36
_cell_angle_gamma 90.00
_symmetry_space_group_name_H-M 'P 1 2/m 1'
_symmetry_Int_Tables_number 10
_symmetry_space_group_name_Hall '-P 2y'
loop_
_atom_site_label
_atom_site_fract_x
_atom_site_fract_y
_atom_site_fract_z
Tl1 0.183 0.000 0.251
Cu1 0.000 0.500 0.500
Re1 0.500 0.500 0.000
```

***

- energy of formation from the pure elements of number 1 (TlCu2Re)?
  606 meV/atom

***

Repeat the third record exactly.
Material: Tl2CuRe
Method: DFT, GGA-PBE
State: optimized geometry

Magnetic moment ... 0.00 μB/atom
Energy of formation from the pure elements ... 969 meV/atom
Energy relative to the lowest polymorph listed for this composition ... 0.269 eV per atom
Volume ... 19.3 A^3/atom

CIF file:
```
data_Tl2CuRe
_chemical_formula_sum 'Tl2 Cu1 Re1'
_cell_length_a 2.945
_cell_length_b 4.575
_cell_length_c 5.729
_cell_angle_alpha 90.00
_cell_angle_beta 91.36
_cell_angle_gamma 90.00
_symmetry_space_group_name_H-M 'P 1 2/m 1'
_symmetry_Int_Tables_number 10
_symmetry_space_group_name_Hall '-P 2y'
loop_
_atom_site_label
_atom_site_fract_x
_atom_site_fract_y
_atom_site_fract_z
Tl1 0.183 0.000 0.251
Cu1 0.000 0.500 0.500
Re1 0.500 0.500 0.000
```

***

- Which formula does entry 2 have?
  Tl4CuRe

***

Copy entry 1 word for word.
Material: TlCu2Re
Method: DFT, GGA-PBE
State: optimized geometry

Magnetic moment ... 0.00 μB/atom
Energy of formation from the pure elements ... 606 meV/atom
Energy relative to the lowest polymorph listed for this composition ... 0.068 eV per atom
Volume ... 15.5 A^3/atom

CIF file:
```
data_TlCu2Re
_chemical_formula_sum 'Tl2 Cu4 Re2'
_cell_length_a 5.589
_cell_length_b 8.014
_cell_length_c 2.776
_cell_angle_alpha 90.00
_cell_angle_beta 90.00
_cell_angle_gamma 90.00
_symmetry_space_group_name_H-M 'C m m m'
_symmetry_Int_Tables_number 65
_symmetry_space_group_name_Hall '-C 2 2'
loop_
_atom_site_label
_atom_site_fract_x
_atom_site_fract_y
_atom_site_fract_z
Tl1 0.000 0.000 0.000
Cu1 0.250 0.250 0.500
Re1 0.000 0.500 0.000
```